[1]
6
Lattice="3.115 -3.977 -0.801 -0.951 -3.265 -3.820 3.040 -0.080 -4.112" Properties=species:S:1:pos:R:3 comment="BeZnOs4 PBE relaxed" space_group=F-43m e_form_ev_per_fu=5.2 magmom_total_mub_per_cell=0.0 volume_a3_per_atom=15.8 n_ef_per_ev_cell=7.5 pbc="T T T"
Be 0.000 0.000 0.000
Zn 3.902 -5.491 -6.550
Os 3.510 -4.735 -3.674
Os 3.472 -2.784 -5.332
Os 1.474 -4.379 -5.186
Os 1.950 -2.744 -3.273

[2]
4
Lattice="3.147 0.000 0.000 0.000 3.147 0.000 0.000 0.000 5.225" Properties=species:S:1:pos:R:3 comment="BeZn2Os PBE relaxed" space_group=P4/mmm e_form_ev_per_fu=1.2 magmom_total_mub_per_cell=0.0 volume_a3_per_atom=12.9 n_ef_per_ev_cell=2.9 pbc="T T T"
Be 1.574 1.574 1.306
Zn 0.000 0.000 0.055
Zn 0.000 0.000 2.558
Os 1.574 1.574 3.919